(1)
Computed, not measured: an optimized crystal structure of LiYOs2C at the GGA-PBE level of DFT.

abc: 4.118 4.118 4.317
angles: 90.00 90.00 90.00
Fractional coordinates of all 5 atoms:
Li 0.000 0.000 0.000
Y 0.500 0.500 0.000
Os 0.000 0.500 0.500
Os 0.500 0.000 0.500
C 0.000 0.000 0.500

Output
The calculation puts the calculated density at 11.1 Mg/m³. Its calculated total energy is -40.3 eV per cell. As for the formation energy: -0.042 eV/atom.

***

(2)
Computed, not measured: an optimized crystal structure of Nd4Ni2I5 at the GGA-PBE level of DFT.

abc: 11.082 11.082 11.082
angles: 158.22 132.40 52.92
Fractional coordinates of all 11 atoms:
Nd 0.180 0.180 0.000
Nd 0.203 0.500 0.703
Nd 0.797 0.500 0.297
Nd 0.820 0.820 0.000
Ni 0.055 0.055 0.000
Ni 0.945 0.945 0.000
I 0.110 0.334 0.777
I 0.443 0.666 0.777
I 0.500 0.000 0.500
I 0.557 0.334 0.223
I 0.890 0.666 0.223

Output
The calculation puts the calculated density at 5.9 Mg/m³. Its calculated total energy is -47.8 eV per cell. The energy relative to the elements, uncorrected is -906 kJ/mol of formula units.

***

(3)
Computed, not measured: an optimized crystal structure of Dy5Bi2Te5 at the GGA-PBE level of DFT.

abc: 7.549 7.549 13.417
angles: 101.90 101.90 31.84
Fractional coordinates of all 12 atoms:
Dy 0.000 0.000 0.000
Dy 0.119 0.119 0.423
Dy 0.295 0.295 0.182
Dy 0.705 0.705 0.818
Dy 0.881 0.881 0.577
Bi 0.030 0.030 0.778
Bi 0.970 0.970 0.222
Te 0.252 0.252 0.647
Te 0.340 0.340 0.954
Te 0.500 0.500 0.500
Te 0.660 0.660 0.046
Te 0.748 0.748 0.353

Output
The calculation puts the calculated density at 7.9 Mg/m³. Its calculated total energy is -59.4 eV per cell. The energy relative to the elements, uncorrected is -1243 kJ/mol of formula units.